An optimized crystal structure of Tm2Zr4N, computed with PBE.

Cell lengths 4.5282, 4.5282, 16.4081 Å; angles 90.00, 90.00, 90.00 degrees
Space group I4/mmm (No. 139)
Asymmetric unit:
Tm  0.0000  0.0000  0.1561 (multiplicity 4)
Zr  0.0000  0.0000  0.3684 (multiplicity 4)
Zr  0.0000  0.5000  0.0000 (multiplicity 4)
N  0.0000  0.0000  0.5000 (multiplicity 2)

Output
For the total energy, the calculation gives -7.683 eV per atom.

---

An optimized crystal structure of Tm2Zr2N3, computed with PBE.

Cell lengths 3.3680, 5.7327, 5.8856 Å; angles 103.13, 106.59, 90.02 degrees
Space group P-1 (No. 2)
Asymmetric unit:
Tm  0.1224  0.3655  0.2439 (multiplicity 2)
Zr  0.3611  0.1424  0.7230 (multiplicity 2)
N  0.2505  0.7518  0.5008 (multiplicity 2)
N  0.5000  0.5000  0.0000 (multiplicity 1)

Output
For the total energy, the calculation gives -8.814 eV per atom.

---

An optimized crystal structure of Tm3Zr5N8, computed with PBE.

Cell lengths 6.6016, 6.6016, 16.2441 Å; angles 90.00, 90.00, 120.00 degrees
Space group R-3m (No. 166, hexagonal axes)
Asymmetric unit:
Tm  0.0000  0.5000  0.0000 (multiplicity 9)
Zr  0.0000  0.0000  0.0000 (multiplicity 3)
Zr  0.0000  0.0000  0.5000 (multiplicity 3)
Zr  0.0000  0.5000  0.5000 (multiplicity 9)
N  0.0000  0.0000  0.2466 (multiplicity 6)
N  0.0036  0.5018  0.7518 (multiplicity 18)

Output
For the total energy, the calculation gives -9.433 eV per atom.

---

An optimized crystal structure of Tm4ZrN4, computed with PBE.

Cell lengths 7.5345, 7.5345, 4.8172 Å; angles 90.00, 90.00, 90.00 degrees
Space group I4/m (No. 87)
Asymmetric unit:
Tm  0.1079  0.6909  0.0000 (multiplicity 8)
Zr  0.0000  0.0000  0.5000 (multiplicity 2)
N  0.0954  0.7079  0.5000 (multiplicity 8)

Output
The calculation puts the offset from the most stable computed form at 0.0 meV/atom.